A relaxed NdTlCoSe3 crystal. Source: OQMD, functional PBE.

Geometry as POSCAR:
```
NdTlCoSe3
1.0
4.146 0.000 0.000
2.073 7.348 0.000
0.000 0.000 11.174
Co Nd Se Tl
2 2 6 2
direct
0.530 0.940 0.250
0.470 0.060 0.750
0.000 0.000 0.000
0.000 0.000 0.500
0.629 0.743 0.080
0.935 0.130 0.250
0.629 0.743 0.420
0.371 0.257 0.580
0.065 0.870 0.750
0.371 0.257 0.920
0.250 0.499 0.250
0.750 0.501 0.750
```

Properties
Space group ... Cmcm (63)
Excess energy over the best structure of this formula in the dataset ... 0 meV/atom
Crystal system ... orthorhombic

***

A relaxed NdCoSi3 crystal. Source: OQMD, functional PBE.

Geometry as POSCAR:
```
NdCoSi3
1.0
2.959 -0.901 -2.735
2.479 2.792 1.762
-1.016 -4.323 3.442
Co Nd Si
1 1 3
direct
0.662 0.662 0.323
0.005 0.005 0.009
0.761 0.261 0.522
0.261 0.761 0.522
0.426 0.426 0.853
```

Properties
Space group ... I4mm (107)
Crystal system ... tetragonal
Energy ... -31.443 eV/cell

***

A relaxed NdCo9Si4 crystal. Source: OQMD, functional PBE.

Geometry as POSCAR:
```
NdCo9Si4
1.0
-7.721 0.000 0.000
0.000 -7.721 0.000
3.860 3.860 5.712
Co Nd Si
18 2 8
direct
0.500 0.000 0.000
0.199 0.070 0.000
0.930 0.199 0.000
0.430 0.301 0.000
0.699 0.430 0.000
0.000 0.500 0.000
0.301 0.570 0.000
0.570 0.699 0.000
0.070 0.801 0.000
0.801 0.930 0.000
0.810 0.050 0.360
0.550 0.310 0.360
0.050 0.550 0.360
0.310 0.810 0.360
0.690 0.190 0.640
0.950 0.450 0.640
0.450 0.690 0.640
0.190 0.950 0.640
0.250 0.250 0.500
0.750 0.750 0.500
0.790 0.290 0.243
0.290 0.453 0.243
0.953 0.790 0.243
0.453 0.953 0.243
0.547 0.047 0.757
0.047 0.210 0.757
0.710 0.547 0.757
0.210 0.710 0.757
```

Properties
Space group ... I4/mcm (140)
Crystal system ... tetragonal
Energy ... -193.914 eV/cell